## MnFeCuRu (PBE-GGA)

Data for a geometry-optimized MnFeCuRu structure.

Calculated values
Total moment: 7.01 μB/f.u.
E_form: 230 meV/atom

Cell lengths 5.9480, 5.9480, 5.9480 Å; angles 90.00, 90.00, 90.00 degrees
Last column: nearest neighbours and their distance in Å.
Space group F-43m (No. 216)
Unique sites:
Mn 0.0000 0.0000 0.0000 x4  4 Ru 2.58, 4 Cu 2.58
Fe 0.0000 0.0000 0.5000 x4  4 Ru 2.58, 4 Cu 2.58
Cu 0.2500 0.2500 0.2500 x4  4 Fe 2.58, 4 Mn 2.58
Ru 0.2500 0.2500 0.7500 x4  4 Mn 2.58, 4 Fe 2.58